A relaxed Zr6ZnHg crystal, computed with PBE.

Unit cell a=7.8608 b=7.8599 c=5.5566 alpha=44.99 beta=45.00 gamma=60.00
Last column: nearest neighbours and their distance in Å.
Positions (direct):
Zr 0.0002 0.4997 0.7483  2 Zr 2.76-2.80
Zr 0.7520 0.9999 0.7481  2 Zr 2.76-2.80
Zr 0.4998 0.2482 0.2522  2 Zr 2.76-2.80
Zr 0.2480 0.0001 0.2519  2 Zr 2.76-2.80
Zr 0.9998 0.5003 0.2517  2 Zr 2.76-2.80
Zr 0.5002 0.7518 0.7478  2 Zr 2.76-2.80
Zn 0.0000 0.0000 0.0000  12 Zr 3.10
Hg 0.5000 0.5000 0.5000  12 Zr 3.11

## Properties
Calculated formation energy in eV/atom: -0.1451
Energy above the lowest structure with this stoichiometry in eV per formula unit: 0.000
V in Å³/atom: 21.45
Space-group type: Pm-3
Theoretical density in kg/m3: 7870



A relaxed CaBeSi crystal, computed with PBE.

Unit cell a=5.3533 b=3.7130 c=11.7500 alpha=90.00 beta=100.96 gamma=90.00
Last column: nearest neighbours and their distance in Å.
Positions (direct):
Be 0.8945 0.0000 0.2240  2 Be 2.20, 3 Si 2.23
Be 0.1055 0.0000 0.7760  2 Be 2.20, 3 Si 2.23
Be 0.8945 0.5000 0.7240  2 Be 2.20, 3 Si 2.23
Be 0.1055 0.5000 0.2759  2 Be 2.20, 3 Si 2.23
Ca 0.6865 0.0000 0.8983  4 Be 2.89-3.17, 4 Si 3.15-3.16
Ca 0.3135 0.0000 0.1017  4 Be 2.89-3.17, 4 Si 3.15-3.16
Ca 0.6865 0.5000 0.3983  4 Be 2.89-3.17, 4 Si 3.15-3.16
Ca 0.3135 0.5000 0.6017  4 Be 2.89-3.17, 4 Si 3.15-3.16
Si 0.7969 0.0000 0.6192  3 Be 2.23
Si 0.2031 0.0000 0.3808  3 Be 2.23
Si 0.7969 0.5000 0.1192  3 Be 2.23
Si 0.2031 0.5000 0.8808  3 Be 2.23

## Properties
V in Å³/atom: 19.11
Space-group type: C2/m
Theoretical density in kg/m3: 2236
E_form (uncorrected) in eV per atom: -0.236



A relaxed Mg2Sn2Hg crystal, computed with PBE.

Unit cell a=4.7643 b=4.7643 c=7.0088 alpha=70.13 beta=70.13 gamma=90.00
Last column: nearest neighbours and their distance in Å.
Positions (direct):
Mg 0.7500 0.2500 0.5000  4 Sn 2.92
Mg 0.2500 0.7500 0.5000  4 Sn 2.92
Hg 0.0000 0.0000 0.0000  8 Sn 3.64, 8 Mg 3.89
Sn 0.3872 0.3872 0.2256  1 Sn 2.77, 4 Mg 2.92
Sn 0.6128 0.6128 0.7744  1 Sn 2.77, 4 Mg 2.92

## Properties
Calculated formation energy in eV/atom: 0.0475
Energy above the lowest structure with this stoichiometry in eV per formula unit: 0.860
V in Å³/atom: 27.90
Space-group type: I4/mmm
Theoretical density in kg/m3: 5792



A relaxed KHg2Se2 crystal, computed with PBE.

Unit cell a=8.3119 b=8.3119 c=3.8483 alpha=90.00 beta=90.00 gamma=90.00
Last column: nearest neighbours and their distance in Å.
Positions (direct):
K 0.0000 0.0000 0.0000  4 Se 3.11
K 0.5000 0.5000 0.0000  4 Se 3.11
Hg 0.1413 0.6413 0.5000  6 Se 3.00-3.18, 1 Hg 3.32
Hg 0.6413 0.8587 0.5000  6 Se 3.00-3.18, 1 Hg 3.32
Hg 0.8587 0.3587 0.5000  6 Se 3.00-3.18, 1 Hg 3.32
Hg 0.3587 0.1413 0.5000  6 Se 3.00-3.18, 1 Hg 3.32
Se 0.3371 0.8371 0.0000  6 Hg 3.00-3.18, 2 K 3.11
Se 0.8371 0.6629 0.0000  6 Hg 3.00-3.18, 2 K 3.11
Se 0.6629 0.1629 0.0000  6 Hg 3.00-3.18, 2 K 3.11
Se 0.1629 0.3371 0.0000  6 Hg 3.00-3.18, 2 K 3.11

## Properties
Energy above the lowest structure with this stoichiometry in eV per formula unit: 0.972
V in Å³/atom: 26.59
Space-group type: P4/mbm
Theoretical density in kg/m3: 7472
E_form (uncorrected) in eV per atom: -0.253